No. 1
A relaxed NdCd7Hg12 crystal. Source: Alexandria via LeMat-Bulk, functional PBE.

Energy relative to the elements   -0.03 eV/atom
M_tot   0.000 μB per atom

Cell lengths 14.1142, 14.1142, 8.9492 Å; angles 90.00, 90.00, 120.00 degrees
Space group R-3 (No. 148, hexagonal axes)
One atom of each set of equivalent atoms:
Nd  0.0000  0.0000  0.0000 [3 per cell]
Cd  0.0000  0.0000  0.5000 [3 per cell]
Cd  0.0653  0.4860  0.6232 [18 per cell]
Hg  0.0076  0.2500  0.5782 [18 per cell]
Hg  0.0276  0.1686  0.2644 [18 per cell]

---

No. 2
A relaxed V4Cr2Ga crystal. Source: Alexandria via LeMat-Bulk, functional PBE.

Energy relative to the elements   1.10 eV/atom
M_tot   0.000 μB per atom
E above lowest polymorph   1165 meV per atom

Cell lengths 4.458, 4.458, 11.468 Å; angles 90.00, 90.00, 90.00 degrees
Space group I4/mmm (No. 139)
One atom of each set of equivalent atoms:
V  0.000  0.000  0.208 [4 per cell]
V  0.000  0.500  0.000 [4 per cell]
Cr  0.000  0.000  0.379 [4 per cell]
Ga  0.000  0.000  0.000 [2 per cell]